No. 1
A relaxed structure of Hf6RhN3. Source: Alexandria, functional PBE.

a b c (Å): 3.2027 11.5245 9.9648
angles (deg): 124.08 90.00 90.00
Last column: nearest neighbours and their distance in Å.
Positions (direct):
Hf 0.7500 0.4464 0.6017  3 N 2.30-2.38
Hf 0.2500 0.5536 0.3983  3 N 2.30-2.38
Hf 0.7500 0.9475 0.0908  3 N 2.20-2.24
Hf 0.2500 0.0525 0.9092  3 N 2.20-2.24
Hf 0.7500 0.3332 0.0972  3 N 2.21-2.24
Hf 0.2500 0.6668 0.9028  3 N 2.21-2.24
Hf 0.7500 0.6304 0.1691  4 N 2.21-2.43
Hf 0.2500 0.3696 0.8309  4 N 2.21-2.43
Hf 0.7500 0.1317 0.4895  2 N 2.19
Hf 0.2500 0.8683 0.5105  2 N 2.19
Hf 0.7500 0.7713 0.7079  3 N 2.26-2.33
Hf 0.2500 0.2287 0.2921  3 N 2.26-2.33
Rh 0.7500 0.1136 0.7375  3 Hf 2.59-2.71
Rh 0.2500 0.8864 0.2625  3 Hf 2.59-2.71
N 0.7500 0.5195 0.8778  6 Hf 2.21-2.43
N 0.2500 0.4805 0.1222  6 Hf 2.21-2.43
N 0.7500 0.7149 0.4437  6 Hf 2.19-2.33
N 0.2500 0.2851 0.5563  6 Hf 2.19-2.33
N 0.7500 0.1430 0.0995  6 Hf 2.20-2.26
N 0.2500 0.8570 0.9005  6 Hf 2.20-2.26

Computed properties:
Fermi-level density of states = 3.7 states/eV/f.u.
Crystal system = monoclinic
Formation energy (no corrections) = -1.25 eV/atom


No. 2
A relaxed structure of PuPaRu4. Source: Alexandria, functional PBE.

a b c (Å): 3.4182 4.6861 7.6888
angles (deg): 98.74 77.16 68.61
Last column: nearest neighbours and their distance in Å.
Positions (direct):
Pu 0.0000 0.0000 0.0000  2 Ru 2.42
Pa 0.5000 0.5000 0.5000  4 Ru 2.59
Ru 0.8656 0.4240 0.8448  1 Pu 2.42
Ru 0.2912 0.0612 0.3564  2 Pa 2.59, 2 Ru 2.84
Ru 0.1344 0.5760 0.1552  1 Pu 2.42
Ru 0.7088 0.9388 0.6436  2 Pa 2.59, 2 Ru 2.84

Computed properties:
Fermi-level density of states = 9.5 states/eV/f.u.
Crystal system = monoclinic
Electronic total energy = -10.22 eV per atom


No. 3
A relaxed structure of KPuAu2. Source: Alexandria, functional PBE.

a b c (Å): 3.7161 3.7161 8.1163
angles (deg): 90.00 90.00 90.00
Last column: nearest neighbours and their distance in Å.
Positions (direct):
K 0.5000 0.5000 0.5000  8 Au 3.57, 4 K 3.72
Au 0.0000 0.0000 0.7979  4 Pu 3.10, 1 Au 3.28
Au 0.0000 0.0000 0.2021  4 Pu 3.10, 1 Au 3.28
Pu 0.5000 0.5000 0.0000  8 Au 3.10

Computed properties:
Fermi-level density of states = 14.0 states/eV/f.u.
Crystal system = tetragonal
Electronic total energy = -5.83 eV per atom


No. 4
A relaxed structure of Th2InCu3. Source: Alexandria, functional PBE.

a b c (Å): 5.7856 5.7856 8.7150
angles (deg): 103.87 103.87 106.12
Last column: nearest neighbours and their distance in Å.
Positions (direct):
Th 0.2500 0.7500 0.5000  4 In 3.20, 8 Cu 3.21-3.22, 2 Th 3.48
Th 0.7665 0.7665 0.0000  10 Cu 3.07-3.26, 2 In 3.22, 1 Th 3.25
Th 0.7500 0.2500 0.5000  4 In 3.20, 8 Cu 3.21-3.22, 2 Th 3.48
Th 0.2335 0.2335 0.0000  10 Cu 3.07-3.26, 2 In 3.22, 1 Th 3.25
In 0.6647 0.6647 0.3294  3 Cu 2.71-2.75
In 0.3353 0.3353 0.6706  3 Cu 2.71-2.75
Cu 0.3261 0.8352 0.1613  2 Cu 2.58-2.63, 1 In 2.71
Cu 0.1648 0.6739 0.8387  2 Cu 2.58-2.63, 1 In 2.71
Cu 0.6739 0.1648 0.8387  2 Cu 2.58-2.63, 1 In 2.71
Cu 0.8352 0.3261 0.1613  2 Cu 2.58-2.63, 1 In 2.71
Cu 0.1633 0.1633 0.3266  2 Cu 2.63, 1 In 2.75
Cu 0.8367 0.8367 0.6734  2 Cu 2.63, 1 In 2.75

Computed properties:
Fermi-level density of states = 4.2 states/eV/f.u.
Crystal system = orthorhombic
Electronic total energy = -5.15 eV per atom


No. 5
A relaxed structure of CsLiPmI6. Source: Alexandria, functional PBE.

a b c (Å): 7.5991 7.5990 9.2871
angles (deg): 90.00 89.99 59.98
Last column: nearest neighbours and their distance in Å.
Positions (direct):
Cs 0.0000 0.0000 0.0000  6 I 3.91
Li 0.3334 0.3334 0.5000  6 I 3.00
Pm 0.6666 0.6666 0.5000  6 I 3.10
I 0.0108 0.3501 0.3047  1 Li 3.00, 1 Pm 3.10
I 0.3501 0.0108 0.6953  1 Li 3.00, 1 Pm 3.10
I 0.6391 0.3502 0.6953  1 Li 3.00, 1 Pm 3.10
I 0.0106 0.6392 0.6953  1 Li 3.00, 1 Pm 3.10
I 0.3502 0.6391 0.3047  1 Li 3.00, 1 Pm 3.10
I 0.6392 0.0106 0.3047  1 Li 3.00, 1 Pm 3.10

Computed properties:
Fermi-level density of states = 14.5 states/eV/f.u.
Crystal system = trigonal
Formation energy (no corrections) = -1.15 eV/atom


No. 6
A relaxed structure of Ac2SI2O. Source: Alexandria, functional PBE.

a b c (Å): 4.3911 7.6234 12.7750
angles (deg): 90.00 90.00 90.00
Last column: nearest neighbours and their distance in Å.
Positions (direct):
Ac 0.0000 0.2540 0.7013  2 O 2.52
Ac 0.5000 0.3393 0.4360  2 O 2.54-2.73
Ac 0.0000 0.7540 0.2987  2 O 2.52
Ac 0.5000 0.8393 0.5640  2 O 2.54-2.73
S 0.0000 0.0412 0.4572  5 Ac 2.98-3.17, 2 O 3.17
S 0.0000 0.5412 0.5428  5 Ac 2.98-3.17, 2 O 3.17
I 0.5000 0.8828 0.1184  2 Ac 3.33
I 0.0000 0.3401 0.2260  3 Ac 3.29-3.47
I 0.5000 0.3828 0.8816  2 Ac 3.33
I 0.0000 0.8401 0.7740  3 Ac 3.29-3.47
O 0.5000 0.1883 0.6131  4 Ac 2.52-2.73
O 0.5000 0.6883 0.3869  4 Ac 2.52-2.73

Computed properties:
Fermi-level density of states = 0.0 states/eV/f.u.
Crystal system = orthorhombic
Formation energy (no corrections) = -2.28 eV/atom